[1]
# Ga3Hg12Sb5 PBE relaxed
# * uncorrected formation energy: 0.135 eV/atom
data_Ga3Hg12Sb5
_chemical_formula_sum 'Ga24 Hg96 Sb40'
_cell_length_a 16.7988
_cell_length_b 16.7988
_cell_length_c 16.7988
_cell_angle_alpha 90.00
_cell_angle_beta 90.00
_cell_angle_gamma 90.00
_space_group_name_H-M_alt 'I a -3 d'
_space_group_IT_number 230
_space_group_name_Hall '-I 4bd 2c 3'
loop_
_atom_site_label
_atom_site_type_symbol
_atom_site_fract_x
_atom_site_fract_y
_atom_site_fract_z
Ga1 Ga 0.0000 0.2500 0.1250
Hg1 Hg 0.0248 0.0897 0.6503
Sb1 Sb 0.0000 0.0000 0.0000
Sb2 Sb 0.0000 0.2500 0.3750

=====

[2]
# Ho3V12Tc5 PBE relaxed
# * formation enthalpy at 0 K: 909 meV per atom
data_Ho3V12Tc5
_chemical_formula_sum 'Ho24 V96 Tc40'
_cell_length_a 15.2493
_cell_length_b 15.2493
_cell_length_c 15.2493
_cell_angle_alpha 90.00
_cell_angle_beta 90.00
_cell_angle_gamma 90.00
_space_group_name_H-M_alt 'I a -3 d'
_space_group_IT_number 230
_space_group_name_Hall '-I 4bd 2c 3'
loop_
_atom_site_label
_atom_site_type_symbol
_atom_site_fract_x
_atom_site_fract_y
_atom_site_fract_z
Ho1 Ho 0.0000 0.2500 0.1250
V1 V 0.0454 0.1050 0.8899
Tc1 Tc 0.0000 0.0000 0.0000
Tc2 Tc 0.0000 0.2500 0.3750

=====

[3]
# HS PBE relaxed
# * E above lowest polymorph: 245 meV/atom
data_HS
_chemical_formula_sum 'H16 S16'
_cell_length_a 4.2786
_cell_length_b 8.4219
_cell_length_c 11.7885
_cell_angle_alpha 90.00
_cell_angle_beta 90.00
_cell_angle_gamma 90.00
_space_group_name_H-M_alt 'F d d d'
_space_group_IT_number 70
loop_
_space_group_symop_operation_xyz
'x,y,z'
'-x,-y,-z'
'-x+1/4,-y+1/4,z'
'x+1/4,y+1/4,-z'
'x,-y+1/4,-z+1/4'
'-x,y+1/4,z+1/4'
'-x+1/4,y,-z+1/4'
'x+1/4,-y,z+1/4'
'x,y+1/2,z+1/2'
'-x,-y+1/2,-z+1/2'
'-x+1/4,-y+3/4,z+1/2'
'x+1/4,y+3/4,-z+1/2'
'x,-y+3/4,-z+3/4'
'-x,y+3/4,z+3/4'
'-x+1/4,y+1/2,-z+3/4'
'x+1/4,-y+1/2,z+3/4'
'x+1/2,y,z+1/2'
'-x+1/2,-y,-z+1/2'
'-x+3/4,-y+1/4,z+1/2'
'x+3/4,y+1/4,-z+1/2'
'x+1/2,-y+1/4,-z+3/4'
'-x+1/2,y+1/4,z+3/4'
'-x+3/4,y,-z+3/4'
'x+3/4,-y,z+3/4'
'x+1/2,y+1/2,z'
'-x+1/2,-y+1/2,-z'
'-x+3/4,-y+3/4,z'
'x+3/4,y+3/4,-z'
'x+1/2,-y+3/4,-z+1/4'
'-x+1/2,y+3/4,z+1/4'
'-x+3/4,y+1/2,-z+1/4'
'x+3/4,-y+1/2,z+1/4'
loop_
_atom_site_label
_atom_site_type_symbol
_atom_site_fract_x
_atom_site_fract_y
_atom_site_fract_z
H1 H 0.1250 0.3447 0.1250
S1 S 0.1250 0.1250 0.4802

=====

[4]
# Cs2CdTe PBE relaxed
# * uncorrected formation energy: -0.634 eV/atom
# * E above lowest polymorph: 1 meV/atom
data_Cs2CdTe
_chemical_formula_sum 'Cs8 Cd4 Te4'
_cell_length_a 8.4403
_cell_length_b 7.9563
_cell_length_c 14.6292
_cell_angle_alpha 90.00
_cell_angle_beta 124.37
_cell_angle_gamma 90.00
_space_group_name_H-M_alt 'P 1 21/c 1'
_space_group_IT_number 14
_space_group_name_Hall '-P 2ybc'
loop_
_atom_site_label
_atom_site_type_symbol
_atom_site_fract_x
_atom_site_fract_y
_atom_site_fract_z
Cs1 Cs 0.2056 0.2160 0.0833
Cs2 Cs 0.2332 0.6184 0.8284
Cd1 Cd 0.3934 0.1064 0.8892
Te1 Te 0.3283 0.6799 0.1202

=====

[5]
# MgCrCo2 PBE relaxed
# * formation enthalpy at 0 K: 314 meV per atom
data_MgCrCo2
_chemical_formula_sum 'Mg1 Cr1 Co2'
_cell_length_a 2.9197
_cell_length_b 2.9197
_cell_length_c 6.1263
_cell_angle_alpha 90.00
_cell_angle_beta 90.00
_cell_angle_gamma 90.00
_space_group_name_H-M_alt 'P 4 m m'
_space_group_IT_number 99
_space_group_name_Hall 'P 4 -2'
loop_
_atom_site_label
_atom_site_type_symbol
_atom_site_fract_x
_atom_site_fract_y
_atom_site_fract_z
Mg1 Mg 0.0000 0.0000 0.0000
Cr1 Cr 0.5000 0.5000 0.6856
Co1 Co 0.0000 0.0000 0.5010
Co2 Co 0.5000 0.5000 0.2781

=====

[6]
# ZrAs2Ru PBE relaxed
# * E above lowest polymorph: 301 meV/atom
# * formation enthalpy at 0 K: -304 meV per atom
data_ZrAs2Ru
_chemical_formula_sum 'Zr1 As2 Ru1'
_cell_length_a 3.1347
_cell_length_b 3.1649
_cell_length_c 6.7506
_cell_angle_alpha 90.00
_cell_angle_beta 90.00
_cell_angle_gamma 90.00
_space_group_name_H-M_alt 'P m m m'
_space_group_IT_number 47
_space_group_name_Hall '-P 2 2'
loop_
_atom_site_label
_atom_site_type_symbol
_atom_site_fract_x
_atom_site_fract_y
_atom_site_fract_z
Zr1 Zr 0.0000 0.0000 0.0000
As1 As 0.5000 0.5000 0.2761
Ru1 Ru 0.0000 0.0000 0.5000

=====

In μB per formula unit, the magnetization values for the records above are, in order, 0.00; 0.00; 0.00; 0.00; 2.04; 0.00.
In eV/f.u., the E_tot values for the records above are, in order, -30.61; -156.81; -7.13; -8.30; -24.17; -28.34.